# AsPb4Se2S (PBE, optimized geometry)
data_AsPb4Se2S
_chemical_formula_sum 'As1 Pb4 Se2 S1'
_symmetry_space_group_name_H-M 'P 1'
_symmetry_Int_Tables_number 1
_cell_length_a 7.4740
_cell_length_b 4.2923
_cell_length_c 7.4982
_cell_angle_alpha 90.00
_cell_angle_beta 109.58
_cell_angle_gamma 90.00
loop_
_symmetry_equiv_pos_as_xyz
'x,y,z'
loop_
_atom_site_label
_atom_site_fract_x
_atom_site_fract_y
_atom_site_fract_z
_atom_site_occupancy
As1 0.0000 0.0000 0.0000 1
Pb1 0.2436 0.5000 0.2378 1
Pb2 0.2543 0.0000 0.7592 1
Pb3 0.7457 0.0000 0.2408 1
Pb4 0.7564 0.5000 0.7622 1
Se1 0.0000 0.5000 0.5000 1
Se2 0.5000 0.0000 0.5000 1
S1 0.5000 0.5000 0.0000 1
# Calculated volume in Å³/cell: 226.6
# Density of states at the Fermi level in states/eV per cell: 3.7
# Magnetic moment in Bohr magnetons per cell: 0.00
# Uncorrected energy in eV per atom: -4.19